# Li2PrInSn2, relaxed, DFT PBE
data_Li2PrInSn2
_space_group_name_H-M_alt 'P 1'
_space_group_IT_number 1
_cell_length_a 4.536
_cell_length_b 7.770
_cell_length_c 8.651
_cell_angle_alpha 90.00
_cell_angle_beta 90.00
_cell_angle_gamma 90.00
loop_
_space_group_symop_operation_xyz
'x,y,z'
loop_
_atom_site_label
_atom_site_type_symbol
_atom_site_fract_x
_atom_site_fract_y
_atom_site_fract_z
Sn1 Sn 0.500 0.763 0.638
Sn2 Sn 0.000 0.748 0.111
Sn3 Sn 0.000 0.248 0.889
Sn4 Sn 0.500 0.263 0.362
Li1 Li 0.500 0.540 0.924
Li2 Li 0.500 0.040 0.076
Li3 Li 0.000 0.876 0.813
Li4 Li 0.000 0.376 0.187
In1 In 0.500 0.645 0.302
In2 In 0.500 0.145 0.698
Pr1 Pr 0.000 0.474 0.575
Pr2 Pr 0.000 0.974 0.425
# Calculated total energy, eV/atom: -3.666

---

# SrLiPrIn, relaxed, DFT PBE
data_SrLiPrIn
_space_group_name_H-M_alt 'P 1'
_space_group_IT_number 1
_cell_length_a 5.620
_cell_length_b 5.620
_cell_length_c 5.620
_cell_angle_alpha 60.00
_cell_angle_beta 60.00
_cell_angle_gamma 60.00
loop_
_space_group_symop_operation_xyz
'x,y,z'
loop_
_atom_site_label
_atom_site_type_symbol
_atom_site_fract_x
_atom_site_fract_y
_atom_site_fract_z
In1 In 0.500 0.500 0.500
Pr1 Pr 0.750 0.750 0.750
Li1 Li 0.000 0.000 0.000
Sr1 Sr 0.250 0.250 0.250
# Calculated total energy, eV/atom: -3.004

---

| no. | total moment (μB per atom) | energy of formation from the pure elements (meV/atom) | density of states at the Fermi level (states/eV/cell) |
| --- | --- | --- | --- |
| 1 | 0.000 | -440.8 | 2.48 |
| 2 | 0.000 | -225.6 | 3.77 |